1.
{"formula": "LaZn", "functional": "meta-GGA SCAN", "state": "single point on PBEsol structure", "lattice_angstrom": [[-1.833, 2.509, 5.200], [1.833, -2.509, 5.200], [1.833, 2.509, -5.200]], "species": ["La", "La", "Zn", "Zn"], "fractional_positions": [[0.355, 0.105, 0.250], [0.645, 0.895, 0.750], [0.085, 0.335, 0.750], [0.915, 0.665, 0.250]], "delta_e_f_ev_per_atom": -0.341}

***

2.
{"formula": "La2Zn3", "functional": "meta-GGA SCAN", "state": "single point on PBEsol structure", "lattice_angstrom": [[0.000, 7.976, 2.925], [4.855, 0.000, 2.925], [4.855, 7.976, 0.000]], "species": ["La", "La", "La", "La", "Zn", "Zn", "Zn", "Zn", "Zn", "Zn"], "fractional_positions": [[0.211, 0.789, 0.382], [0.632, 0.868, 0.461], [0.789, 0.211, 0.618], [0.868, 0.632, 0.039], [0.216, 0.301, 0.034], [0.216, 0.801, 0.034], [0.272, 0.272, 0.728], [0.301, 0.216, 0.449], [0.522, 0.522, 0.978], [0.801, 0.216, 0.949]], "delta_e_f_ev_per_atom": -0.351}

***

3.
{"formula": "LaZn", "functional": "meta-GGA SCAN", "state": "single point on PBEsol structure", "lattice_angstrom": [[3.687, 0.000, 0.000], [0.000, 3.687, 0.000], [0.000, 0.000, 3.687]], "species": ["La", "Zn"], "fractional_positions": [[0.000, 0.000, 0.000], [0.500, 0.500, 0.500]], "delta_e_f_ev_per_atom": -0.374}

***

4.
{"formula": "LaZn2", "functional": "meta-GGA SCAN", "state": "single point on PBEsol structure", "lattice_angstrom": [[-1.642, 1.642, 5.713], [1.642, -1.642, 5.713], [1.642, 1.642, -5.713]], "species": ["La", "Zn", "Zn"], "fractional_positions": [[0.000, 0.000, 0.000], [0.305, 0.305, 0.000], [0.695, 0.695, 0.000]], "delta_e_f_ev_per_atom": -0.208}

***

5.
{"formula": "La5Zn", "functional": "meta-GGA SCAN", "state": "single point on PBEsol structure", "lattice_angstrom": [[3.683, 0.000, 0.000], [0.000, 3.683, 0.000], [0.000, 0.000, 13.719]], "species": ["La", "La", "La", "La", "La", "Zn"], "fractional_positions": [[0.000, 0.000, 0.000], [0.000, 0.000, 0.368], [0.000, 0.000, 0.632], [0.500, 0.500, 0.184], [0.500, 0.500, 0.816], [0.500, 0.500, 0.500]], "delta_e_f_ev_per_atom": -0.121, "de_polymorph_mev_per_atom": 0}

***

6.
{"formula": "LaZn2", "functional": "meta-GGA SCAN", "state": "single point on PBEsol structure", "lattice_angstrom": [[6.288, 0.000, 0.000], [0.000, 4.698, 0.000], [0.000, 0.000, 8.802]], "species": ["La", "La", "La", "La", "Zn", "Zn", "Zn", "Zn", "Zn", "Zn", "Zn", "Zn"], "fractional_positions": [[0.184, 0.250, 0.079], [0.316, 0.750, 0.579], [0.684, 0.250, 0.421], [0.816, 0.750, 0.921], [0.020, 0.250, 0.709], [0.153, 0.250, 0.411], [0.347, 0.750, 0.911], [0.480, 0.750, 0.209], [0.520, 0.250, 0.791], [0.653, 0.250, 0.089], [0.847, 0.750, 0.589], [0.980, 0.750, 0.291]], "delta_e_f_ev_per_atom": -0.310}

***

7.
{"formula": "La3Zn", "functional": "meta-GGA SCAN", "state": "single point on PBEsol structure", "lattice_angstrom": [[5.729, 0.000, 0.000], [0.000, 5.729, 0.000], [0.000, 0.000, 5.729]], "species": ["La", "La", "La", "Zn"], "fractional_positions": [[0.000, 0.000, 0.500], [0.000, 0.500, 0.000], [0.500, 0.000, 0.000], [0.000, 0.000, 0.000]], "delta_e_f_ev_per_atom": 0.504}

***

8.
{"formula": "La2Zn", "functional": "meta-GGA SCAN", "state": "single point on PBEsol structure", "lattice_angstrom": [[1.936, -6.556, 0.000], [1.936, 6.556, 0.000], [0.000, 0.000, 6.986]], "species": ["La", "La", "La", "La", "Zn", "Zn"], "fractional_positions": [[0.024, 0.976, 0.500], [0.299, 0.701, 0.284], [0.701, 0.299, 0.784], [0.976, 0.024, 0.000], [0.379, 0.621, 0.719], [0.621, 0.379, 0.219]], "delta_e_f_ev_per_atom": -0.189}

***

9.
{"formula": "La2Zn", "functional": "meta-GGA SCAN", "state": "single point on PBEsol structure", "lattice_angstrom": [[-1.848, 1.848, 12.492], [1.848, -1.848, 12.492], [1.848, 1.848, -12.492]], "species": ["La", "La", "La", "La", "Zn", "Zn"], "fractional_positions": [[0.305, 0.555, 0.750], [0.445, 0.695, 0.750], [0.555, 0.305, 0.250], [0.695, 0.445, 0.250], [0.125, 0.875, 0.250], [0.875, 0.125, 0.750]], "delta_e_f_ev_per_atom": -0.162}

***

10.
{"formula": "LaZn2", "functional": "meta-GGA SCAN", "state": "single point on PBEsol structure", "lattice_angstrom": [[-2.307, 3.768, 3.633], [2.307, -3.768, 3.633], [2.307, 3.768, -3.633]], "species": ["La", "La", "Zn", "Zn", "Zn", "Zn"], "fractional_positions": [[0.302, 0.052, 0.250], [0.698, 0.948, 0.750], [0.095, 0.663, 0.432], [0.269, 0.337, 0.932], [0.731, 0.663, 0.068], [0.905, 0.337, 0.568]], "delta_e_f_ev_per_atom": -0.449}

***

11.
{"formula": "LaZn", "functional": "meta-GGA SCAN", "state": "single point on PBEsol structure", "lattice_angstrom": [[10.780, 0.000, 0.000], [0.000, 8.784, 0.000], [0.000, 0.000, 6.464]], "species": ["La", "La", "La", "La", "La", "La", "La", "La", "La", "La", "La", "La", "Zn", "Zn", "Zn", "Zn", "Zn", "Zn", "Zn", "Zn", "Zn", "Zn", "Zn", "Zn"], "fractional_positions": [[0.111, 0.250, 0.000], [0.111, 0.250, 0.500], [0.197, 0.642, 0.250], [0.197, 0.858, 0.750], [0.372, 0.043, 0.250], [0.372, 0.457, 0.750], [0.628, 0.543, 0.250], [0.628, 0.957, 0.750], [0.803, 0.142, 0.250], [0.803, 0.358, 0.750], [0.889, 0.750, 0.000], [0.889, 0.750, 0.500], [0.075, 0.545, 0.750], [0.075, 0.955, 0.250], [0.381, 0.116, 0.750], [0.381, 0.384, 0.250], [0.445, 0.750, 0.000], [0.445, 0.750, 0.500], [0.555, 0.250, 0.000], [0.555, 0.250, 0.500], [0.619, 0.616, 0.750], [0.619, 0.884, 0.250], [0.925, 0.045, 0.750], [0.925, 0.455, 0.250]], "delta_e_f_ev_per_atom": -0.287}

***

12.
{"formula": "La2Zn", "functional": "meta-GGA SCAN", "state": "single point on PBEsol structure", "lattice_angstrom": [[0.000, 6.972, 6.972], [6.972, 0.000, 6.972], [6.972, 6.972, 0.000]], "species": ["La", "La", "La", "La", "La", "La", "La", "La", "La", "La", "La", "La", "La", "La", "La", "La", "Zn", "Zn", "Zn", "Zn", "Zn", "Zn", "Zn", "Zn"], "fractional_positions": [[0.000, 0.000, 0.000], [0.000, 0.000, 0.500], [0.000, 0.500, 0.000], [0.187, 0.187, 0.563], [0.187, 0.563, 0.187], [0.187, 0.563, 0.563], [0.437, 0.437, 0.813], [0.437, 0.813, 0.437], [0.437, 0.813, 0.813], [0.500, 0.000, 0.000], [0.563, 0.187, 0.187], [0.563, 0.187, 0.563], [0.563, 0.563, 0.187], [0.813, 0.437, 0.437], [0.813, 0.437, 0.813], [0.813, 0.813, 0.437], [0.140, 0.787, 0.787], [0.213, 0.213, 0.213], [0.213, 0.213, 0.860], [0.213, 0.860, 0.213], [0.787, 0.140, 0.787], [0.787, 0.787, 0.140], [0.787, 0.787, 0.787], [0.860, 0.213, 0.213]], "delta_e_f_ev_per_atom": -0.181}

***

13.
{"formula": "La2Zn3", "functional": "meta-GGA SCAN", "state": "single point on PBEsol structure", "lattice_angstrom": [[2.410, 1.392, 5.658], [-2.410, 1.392, 5.658], [0.000, -2.783, 5.658]], "species": ["La", "La", "Zn", "Zn", "Zn"], "fractional_positions": [[0.089, 0.089, 0.089], [0.911, 0.911, 0.911], [0.329, 0.329, 0.329], [0.500, 0.500, 0.500], [0.671, 0.671, 0.671]], "delta_e_f_ev_per_atom": -0.302}

***

14.
{"formula": "LaZn", "functional": "meta-GGA SCAN", "state": "single point on PBEsol structure", "lattice_angstrom": [[2.239, 1.293, 5.270], [-2.239, 1.293, 5.270], [0.000, -2.586, 5.270]], "species": ["La", "La", "Zn", "Zn"], "fractional_positions": [[0.115, 0.115, 0.115], [0.885, 0.885, 0.885], [0.332, 0.332, 0.332], [0.668, 0.668, 0.668]], "delta_e_f_ev_per_atom": -0.295}

***

15.
{"formula": "La2Zn", "functional": "meta-GGA SCAN", "state": "single point on PBEsol structure", "lattice_angstrom": [[4.907, 0.000, 0.000], [-2.454, 4.250, 0.000], [0.000, 0.000, 3.781]], "species": ["La", "La", "Zn"], "fractional_positions": [[0.333, 0.667, 0.328], [0.667, 0.333, 0.672], [0.000, 0.000, 0.000]], "delta_e_f_ev_per_atom": -0.183}

***

16.
{"formula": "La2Zn", "functional": "meta-GGA SCAN", "state": "single point on PBEsol structure", "lattice_angstrom": [[6.076, -1.821, 0.000], [6.076, 1.821, 0.000], [-4.925, 0.000, 7.581]], "species": ["La", "La", "La", "La", "Zn", "Zn"], "fractional_positions": [[0.088, 0.088, 0.346], [0.341, 0.341, 0.946], [0.659, 0.659, 0.054], [0.912, 0.912, 0.654], [0.377, 0.377, 0.349], [0.623, 0.623, 0.651]], "delta_e_f_ev_per_atom": -0.212}

***

17.
{"formula": "La2Zn17", "functional": "meta-GGA SCAN", "state": "single point on PBEsol structure", "lattice_angstrom": [[4.475, 2.583, 4.354], [-4.475, 2.583, 4.354], [0.000, -5.167, 4.354]], "species": ["La", "La", "Zn", "Zn", "Zn", "Zn", "Zn", "Zn", "Zn", "Zn", "Zn", "Zn", "Zn", "Zn", "Zn", "Zn", "Zn", "Zn", "Zn"], "fractional_positions": [[0.163, 0.163, 0.163], [0.837, 0.837, 0.837], [0.000, 0.500, 0.500], [0.152, 0.152, 0.660], [0.152, 0.660, 0.152], [0.210, 0.500, 0.790], [0.210, 0.790, 0.500], [0.340, 0.848, 0.848], [0.402, 0.402, 0.402], [0.500, 0.000, 0.500], [0.500, 0.210, 0.790], [0.500, 0.500, 0.000], [0.500, 0.790, 0.210], [0.598, 0.598, 0.598], [0.660, 0.152, 0.152], [0.790, 0.210, 0.500], [0.790, 0.500, 0.210], [0.848, 0.340, 0.848], [0.848, 0.848, 0.340]], "delta_e_f_ev_per_atom": -0.317}

***

18.
{"formula": "La8Zn", "functional": "meta-GGA SCAN", "state": "single point on PBEsol structure", "lattice_angstrom": [[-5.319, 5.319, 2.485], [5.319, -5.319, 2.485], [5.319, 5.319, -2.485]], "species": ["La", "La", "La", "La", "La", "La", "La", "La", "Zn"], "fractional_positions": [[0.000, 0.315, 0.315], [0.000, 0.685, 0.685], [0.315, 0.000, 0.315], [0.334, 0.334, 0.668], [0.334, 0.666, 0.000], [0.666, 0.334, 0.000], [0.666, 0.666, 0.332], [0.685, 0.000, 0.685], [0.000, 0.000, 0.000]], "delta_e_f_ev_per_atom": -0.007}

***

19.
{"formula": "LaZn2", "functional": "meta-GGA SCAN", "state": "single point on PBEsol structure", "lattice_angstrom": [[-2.121, 2.121, 7.561], [2.121, -2.121, 7.561], [2.121, 2.121, -7.561]], "species": ["La", "La", "Zn", "Zn", "Zn", "Zn"], "fractional_positions": [[0.375, 0.625, 0.750], [0.625, 0.375, 0.250], [0.042, 0.792, 0.250], [0.208, 0.958, 0.250], [0.792, 0.042, 0.750], [0.958, 0.208, 0.750]], "delta_e_f_ev_per_atom": -0.399}

***

20.
{"formula": "LaZn11", "functional": "meta-GGA SCAN", "state": "single point on PBEsol structure", "lattice_angstrom": [[-5.235, 5.235, 3.375], [5.235, -5.235, 3.375], [5.235, 5.235, -3.375]], "species": ["La", "La", "Zn", "Zn", "Zn", "Zn", "Zn", "Zn", "Zn", "Zn", "Zn", "Zn", "Zn", "Zn", "Zn", "Zn", "Zn", "Zn", "Zn", "Zn", "Zn", "Zn", "Zn", "Zn"], "fractional_positions": [[0.375, 0.625, 0.750], [0.625, 0.375, 0.250], [0.000, 0.000, 0.000], [0.000, 0.000, 0.500], [0.000, 0.500, 0.000], [0.125, 0.875, 0.250], [0.134, 0.557, 0.334], [0.134, 0.801, 0.578], [0.199, 0.277, 0.334], [0.199, 0.866, 0.922], [0.277, 0.199, 0.834], [0.277, 0.443, 0.078], [0.443, 0.277, 0.578], [0.443, 0.866, 0.166], [0.500, 0.000, 0.500], [0.557, 0.134, 0.834], [0.557, 0.723, 0.422], [0.723, 0.557, 0.922], [0.723, 0.801, 0.166], [0.801, 0.134, 0.078], [0.801, 0.723, 0.666], [0.866, 0.199, 0.422], [0.866, 0.443, 0.666], [0.875, 0.125, 0.750]], "delta_e_f_ev_per_atom": -0.287}